{
  "formula": "SmY5Tl4",
  "functional": "PBE-GGA",
  "state": "optimized geometry",
  "cell": [[-1.071, -2.844, -1.993], [3.114, 0.137, -1.869], [9.196, -13.510, 14.334]],
  "species": ["Y", "Y", "Tl", "Y", "Tl", "Tl", "Tl", "Sm", "Y", "Y"],
  "fractional_positions": [[0.500, 0.500, 0.692], [0.500, 0.500, 0.117], [0.000, 0.000, 0.212], [0.500, 0.500, 0.500], [0.000, 0.000, 0.404], [0.000, 0.000, 0.788], [0.000, 0.000, 0.596], [0.000, 0.000, 0.000], [0.500, 0.500, 0.308], [0.500, 0.500, 0.883]],
  "n_ef_per_ev_fu": 8.42,
  "delta_e_f_ev_per_atom": -0.301,
  "m_tot_mub_per_cell": 0.059
}

{
  "formula": "Sm7Y12Tl",
  "functional": "PBE-GGA",
  "state": "optimized geometry",
  "cell": [[-4.902, 5.779, -4.362], [-7.052, -1.509, 4.945], [1.878, 6.507, 5.530]],
  "species": ["Y", "Sm", "Y", "Y", "Y", "Y", "Sm", "Y", "Sm", "Y", "Sm", "Sm", "Y", "Sm", "Y", "Y", "Y", "Y", "Tl", "Sm"],
  "fractional_positions": [[0.141, 0.504, 0.609], [0.082, 0.145, 0.393], [0.256, 0.137, 0.755], [0.504, 0.609, 0.141], [0.744, 0.863, 0.245], [0.137, 0.755, 0.256], [0.607, 0.918, 0.855], [0.859, 0.496, 0.391], [0.500, 0.500, 0.500], [0.863, 0.245, 0.744], [0.145, 0.393, 0.082], [0.393, 0.082, 0.145], [0.755, 0.256, 0.137], [0.918, 0.855, 0.607], [0.245, 0.744, 0.863], [0.496, 0.391, 0.859], [0.609, 0.141, 0.504], [0.391, 0.859, 0.496], [0.000, 0.000, 0.000], [0.855, 0.607, 0.918]],
  "n_ef_per_ev_fu": 30.53,
  "delta_e_f_ev_per_atom": 0.164,
  "m_tot_mub_per_cell": 0.000
}

{
  "formula": "SmY5Tl6",
  "functional": "PBE-GGA",
  "state": "optimized geometry",
  "cell": [[5.189, -0.011, -1.459], [-3.898, 7.542, -3.924], [-0.203, -1.109, 9.284]],
  "species": ["Tl", "Y", "Y", "Tl", "Tl", "Y", "Y", "Y", "Tl", "Tl", "Tl", "Sm"],
  "fractional_positions": [[0.748, 0.580, 0.916], [0.500, 0.835, 0.165], [0.000, 0.667, 0.333], [0.252, 0.084, 0.420], [0.755, 0.255, 0.255], [0.500, 0.165, 0.835], [0.500, 0.500, 0.500], [0.000, 0.333, 0.667], [0.748, 0.916, 0.580], [0.245, 0.745, 0.745], [0.252, 0.420, 0.084], [0.000, 0.000, 0.000]],
  "n_ef_per_ev_fu": 9.00,
  "delta_e_f_ev_per_atom": -0.376,
  "m_tot_mub_per_cell": 0.000
}

{
  "formula": "Sm3Y6Tl",
  "functional": "PBE-GGA",
  "state": "optimized geometry",
  "cell": [[-1.633, -0.417, -3.204], [10.674, 1.631, -5.653], [1.684, -14.596, 1.042]],
  "species": ["Y", "Y", "Y", "Y", "Sm", "Y", "Y", "Y", "Sm", "Y", "Y", "Sm", "Sm", "Tl", "Tl", "Y", "Sm", "Y", "Y", "Sm"],
  "fractional_positions": [[0.250, 0.690, 0.245], [0.750, 0.620, 0.452], [0.750, 0.117, 0.003], [0.750, 0.310, 0.755], [0.250, 0.099, 0.586], [0.250, 0.565, 0.890], [0.750, 0.796, 0.811], [0.250, 0.380, 0.548], [0.750, 0.575, 0.679], [0.750, 0.435, 0.110], [0.250, 0.204, 0.189], [0.750, 0.901, 0.414], [0.250, 0.053, 0.806], [0.750, 0.684, 0.057], [0.250, 0.316, 0.943], [0.750, 0.192, 0.393], [0.250, 0.425, 0.321], [0.250, 0.808, 0.607], [0.250, 0.883, 0.997], [0.750, 0.947, 0.194]],
  "n_ef_per_ev_fu": 16.47,
  "delta_e_f_ev_per_atom": 0.001,
  "m_tot_mub_per_cell": 0.003
}

{
  "formula": "Sm8Y2Tl",
  "functional": "PBE-GGA",
  "state": "optimized geometry",
  "cell": [[1.156, -3.368, -4.254], [6.498, -2.110, 3.436], [-8.061, -3.776, 4.417]],
  "species": ["Sm", "Tl", "Sm", "Y", "Sm", "Y", "Sm", "Sm", "Sm", "Sm", "Sm"],
  "fractional_positions": [[0.000, 0.261, 0.000], [0.500, 0.000, 0.000], [0.363, 0.592, 0.726], [0.193, 0.693, 0.385], [0.363, 0.134, 0.726], [0.807, 0.307, 0.615], [0.637, 0.866, 0.274], [0.180, 0.180, 0.361], [0.820, 0.820, 0.639], [0.637, 0.408, 0.274], [0.000, 0.739, 0.000]],
  "n_ef_per_ev_fu": 18.62,
  "relative_energy_kj_per_mol_atoms": 6.3,
  "delta_e_f_ev_per_atom": 0.025,
  "m_tot_mub_per_cell": 0.000
}

{
  "formula": "Sm4YTl4",
  "functional": "PBE-GGA",
  "state": "optimized geometry",
  "cell": [[6.150, 0.000, 0.000], [0.000, 9.382, 0.000], [0.000, 0.000, 9.382]],
  "species": ["Y", "Tl", "Tl", "Sm", "Tl", "Sm", "Sm", "Tl", "Tl", "Tl", "Sm", "Sm", "Tl", "Tl", "Sm", "Sm", "Y", "Sm"],
  "fractional_positions": [[0.000, 0.000, 0.000], [0.618, 0.101, 0.794], [0.382, 0.794, 0.899], [0.872, 0.666, 0.924], [0.882, 0.601, 0.294], [0.628, 0.166, 0.424], [0.372, 0.424, 0.834], [0.382, 0.206, 0.101], [0.118, 0.294, 0.399], [0.118, 0.706, 0.601], [0.128, 0.076, 0.666], [0.128, 0.924, 0.334], [0.882, 0.399, 0.706], [0.618, 0.899, 0.206], [0.628, 0.834, 0.576], [0.372, 0.576, 0.166], [0.500, 0.500, 0.500], [0.872, 0.334, 0.076]],
  "n_ef_per_ev_fu": 6.98,
  "delta_e_f_ev_per_atom": -0.187,
  "m_tot_mub_per_cell": 0.000
}

{
  "formula": "SmYTl2",
  "functional": "PBE-GGA",
  "state": "optimized geometry",
  "cell": [[3.805, 0.000, 0.000], [1.902, 3.295, 0.000], [1.902, 1.098, 9.654]],
  "species": ["Tl", "Y", "Sm", "Tl"],
  "fractional_positions": [[0.249, 0.249, 0.254], [0.500, 0.500, 0.500], [0.000, 0.000, 0.000], [0.751, 0.751, 0.746]],
  "n_ef_per_ev_fu": 2.27,
  "relative_energy_kj_per_mol_atoms": 10.1,
  "delta_e_f_ev_per_atom": -0.279,
  "m_tot_mub_per_cell": 0.000
}

{
  "formula": "Sm2YTl",
  "functional": "PBE-GGA",
  "state": "optimized geometry",
  "cell": [[3.661, 0.000, 0.000], [0.000, 3.661, 0.000], [0.000, 0.000, 9.378]],
  "species": ["Sm", "Y", "Tl", "Sm"],
  "fractional_positions": [[0.000, 0.000, 0.772], [0.500, 0.500, 0.500], [0.500, 0.500, 0.000], [0.000, 0.000, 0.228]],
  "n_ef_per_ev_fu": 5.73,
  "relative_energy_kj_per_mol_atoms": 4.1,
  "delta_e_f_ev_per_atom": -0.154,
  "m_tot_mub_per_cell": 0.000
}

{
  "formula": "Sm12Y6Tl",
  "functional": "PBE-GGA",
  "state": "optimized geometry",
  "cell": [[8.525, 0.694, 0.831], [-0.606, 8.531, 0.831], [-0.606, -0.707, 8.543]],
  "species": ["Sm", "Y", "Sm", "Sm", "Sm", "Y", "Y", "Y", "Sm", "Sm", "Sm", "Sm", "Sm", "Sm", "Sm", "Tl", "Sm", "Y", "Y"],
  "fractional_positions": [[0.016, 0.185, 0.362], [0.257, 0.098, 0.708], [0.984, 0.815, 0.638], [0.462, 0.569, 0.218], [0.638, 0.984, 0.815], [0.708, 0.257, 0.098], [0.902, 0.292, 0.743], [0.292, 0.743, 0.902], [0.569, 0.218, 0.462], [0.538, 0.431, 0.782], [0.185, 0.362, 0.016], [0.431, 0.782, 0.538], [0.815, 0.638, 0.984], [0.362, 0.016, 0.185], [0.782, 0.538, 0.431], [0.000, 0.000, 0.000], [0.218, 0.462, 0.569], [0.743, 0.902, 0.292], [0.098, 0.708, 0.257]],
  "n_ef_per_ev_fu": 30.89,
  "delta_e_f_ev_per_atom": 0.085,
  "m_tot_mub_per_cell": 0.000
}

{
  "formula": "SmY5Tl3",
  "functional": "PBE-GGA",
  "state": "optimized geometry",
  "cell": [[6.762, 0.000, 0.000], [0.000, 9.418, 0.000], [0.000, -4.709, 8.155]],
  "species": ["Y", "Tl", "Y", "Y", "Y", "Y", "Y", "Tl", "Tl", "Sm", "Y", "Sm", "Tl", "Tl", "Tl", "Y", "Y", "Y"],
  "fractional_positions": [[0.500, 0.667, 0.333], [0.750, 0.661, 0.000], [0.250, 0.000, 0.671], [0.500, 0.333, 0.667], [0.250, 0.330, 0.329], [0.750, 0.329, 0.000], [0.750, 0.670, 0.671], [0.750, 0.339, 0.339], [0.250, 0.339, 0.000], [0.500, 0.000, 0.000], [0.000, 0.333, 0.667], [0.000, 0.000, 0.000], [0.750, 0.000, 0.661], [0.250, 0.000, 0.339], [0.250, 0.661, 0.661], [0.000, 0.667, 0.333], [0.250, 0.671, 0.000], [0.750, 0.000, 0.329]],
  "n_ef_per_ev_fu": 10.42,
  "delta_e_f_ev_per_atom": -0.295,
  "m_tot_mub_per_cell": 2.443
}

{
  "formula": "Sm2Y3Tl",
  "functional": "PBE-GGA",
  "state": "optimized geometry",
  "cell": [[-2.833, 0.800, 4.230], [-2.111, -8.714, -2.907], [8.990, 0.487, 2.788]],
  "species": ["Y", "Y", "Sm", "Sm", "Sm", "Y", "Y", "Y", "Y", "Tl", "Tl", "Sm"],
  "fractional_positions": [[0.500, 0.000, 0.500], [0.044, 0.214, 0.374], [0.250, 0.928, 0.072], [0.250, 0.220, 0.780], [0.750, 0.072, 0.928], [0.000, 0.500, 0.000], [0.544, 0.374, 0.214], [0.956, 0.786, 0.626], [0.456, 0.626, 0.786], [0.750, 0.392, 0.608], [0.250, 0.608, 0.392], [0.750, 0.780, 0.220]],
  "n_ef_per_ev_fu": 7.49,
  "relative_energy_kj_per_mol_atoms": 0.0,
  "delta_e_f_ev_per_atom": -0.113,
  "m_tot_mub_per_cell": 0.000
}

{
  "formula": "Sm5Y8Tl",
  "functional": "PBE-GGA",
  "state": "optimized geometry",
  "cell": [[-6.675, 4.904, -2.259], [4.289, -1.120, -7.352], [-1.075, -7.983, 2.971]],
  "species": ["Y", "Sm", "Sm", "Sm", "Y", "Y", "Y", "Y", "Y", "Sm", "Tl", "Y", "Sm", "Y"],
  "fractional_positions": [[0.042, 0.083, 0.541], [0.912, 0.194, 0.106], [0.894, 0.806, 0.088], [0.282, 0.194, 0.088], [0.459, 0.501, 0.542], [0.041, 0.499, 0.958], [0.458, 0.917, 0.959], [0.080, 0.660, 0.420], [0.760, 0.340, 0.420], [0.912, 0.806, 0.718], [0.250, 0.500, 0.750], [0.580, 0.660, 0.240], [0.500, 0.000, 0.500], [0.580, 0.340, 0.920]],
  "n_ef_per_ev_fu": 19.05,
  "delta_e_f_ev_per_atom": 0.130,
  "m_tot_mub_per_cell": 0.000
}

Copy entry 6 word for word.
{
  "formula": "Sm4YTl4",
  "functional": "PBE-GGA",
  "state": "optimized geometry",
  "cell": [[6.150, 0.000, 0.000], [0.000, 9.382, 0.000], [0.000, 0.000, 9.382]],
  "species": ["Y", "Tl", "Tl", "Sm", "Tl", "Sm", "Sm", "Tl", "Tl", "Tl", "Sm", "Sm", "Tl", "Tl", "Sm", "Sm", "Y", "Sm"],
  "fractional_positions": [[0.000, 0.000, 0.000], [0.618, 0.101, 0.794], [0.382, 0.794, 0.899], [0.872, 0.666, 0.924], [0.882, 0.601, 0.294], [0.628, 0.166, 0.424], [0.372, 0.424, 0.834], [0.382, 0.206, 0.101], [0.118, 0.294, 0.399], [0.118, 0.706, 0.601], [0.128, 0.076, 0.666], [0.128, 0.924, 0.334], [0.882, 0.399, 0.706], [0.618, 0.899, 0.206], [0.628, 0.834, 0.576], [0.372, 0.576, 0.166], [0.500, 0.500, 0.500], [0.872, 0.334, 0.076]],
  "n_ef_per_ev_fu": 6.98,
  "delta_e_f_ev_per_atom": -0.187,
  "m_tot_mub_per_cell": 0.000
}